BaScAu | PBE-GGA | optimized geometry

Values from the calculation:
* energy: -0.3194 Ry/atom
* energy of formation from the pure elements: -0.502 eV/atom
* crystal system: tetragonal
* offset from the most stable computed form: 0.0 meV/atom
* total moment: 0.00 μB/cell
* N(E_F): 5.1 states/eV/f.u.

Lattice parameters (Å, degrees): 4.903 4.903 7.678 90.00 90.00 90.00
Space group P4/nmm (No. 129, origin choice 2)
Asymmetric unit:
1 Ba 0.250 0.250 0.130 [2 per cell]
2 Sc 0.250 0.750 0.500 [2 per cell]
3 Au 0.250 0.250 0.680 [2 per cell]